{"formula": "Sc2HIr", "functional": "meta-GGA SCAN", "state": "PBEsol geometry", "total_magnetization_mub_per_fu": 0.01, "energy_ev_per_cell": -103.1, "spacegroup": "R-3m (166)", "cell": [[-2.002, -1.418, 1.640], [0.398, -2.843, 0.683], [3.162, 0.601, 7.034]], "species": ["Sc", "Sc", "H", "Ir"], "frac_coords": [[0.892, 0.892, 0.325], [0.108, 0.108, 0.675], [0.500, 0.500, 0.500], [0.000, 0.000, 0.000]]}

---

{"formula": "Sc2H2Ir", "functional": "meta-GGA SCAN", "state": "PBEsol geometry", "total_magnetization_mub_per_fu": 0.00, "energy_ev_per_cell": -111.2, "spacegroup": "I4/mmm (139)", "cell": [[-0.555, 2.968, -0.929], [-2.991, -0.768, -0.666], [0.205, 0.305, 6.222]], "species": ["Sc", "Sc", "H", "H", "Ir"], "frac_coords": [[0.359, 0.359, 0.719], [0.641, 0.641, 0.281], [0.250, 0.750, 0.500], [0.750, 0.250, 0.500], [0.000, 0.000, 0.000]]}

---

{"formula": "ScHIr3", "functional": "meta-GGA SCAN", "state": "PBEsol geometry", "total_magnetization_mub_per_fu": 0.00, "energy_ev_per_cell": -233.7, "de_polymorph_mev_per_atom": 54, "spacegroup": "Pm-3m (221)", "cell": [[3.950, 0.000, 0.000], [0.000, 3.950, 0.000], [0.000, 0.000, 3.950]], "species": ["Sc", "H", "Ir", "Ir", "Ir"], "frac_coords": [[0.500, 0.500, 0.500], [0.000, 0.000, 0.000], [0.000, 0.500, 0.000], [0.000, 0.000, 0.500], [0.500, 0.000, 0.000]]}

---

{"formula": "ScHIr3", "functional": "meta-GGA SCAN", "state": "PBEsol geometry", "total_magnetization_mub_per_fu": 0.00, "energy_ev_per_cell": -467.9, "de_polymorph_mev_per_atom": 0, "spacegroup": "Ima2 (46)", "cell": [[5.549, -0.004, -0.007], [-2.727, 4.832, 0.007], [-2.707, -1.657, 4.552]], "species": ["Sc", "Sc", "H", "H", "Ir", "Ir", "Ir", "Ir", "Ir", "Ir"], "frac_coords": [[0.450, 0.718, 0.231], [0.487, 0.218, 0.769], [0.470, 0.469, 0.501], [0.968, 0.969, 0.499], [0.968, 0.718, 0.250], [0.968, 0.219, 0.751], [0.468, 0.218, 0.249], [0.966, 0.218, 0.247], [0.468, 0.719, 0.750], [0.971, 0.718, 0.753]]}

---

{"formula": "H2IrSe", "functional": "meta-GGA SCAN", "state": "PBEsol geometry", "total_magnetization_mub_per_fu": 0.00, "energy_ev_per_cell": -191.5, "spacegroup": "I-42d (122)", "cell": [[-0.521, 4.659, 0.949], [-4.041, -1.685, -1.926], [0.948, -2.362, 4.050]], "species": ["H", "H", "H", "H", "Ir", "Ir", "Se", "Se"], "frac_coords": [[0.991, 0.875, 0.616], [0.259, 0.375, 0.384], [0.125, 0.741, 0.116], [0.625, 0.009, 0.884], [0.000, 0.000, 0.000], [0.250, 0.750, 0.500], [0.500, 0.500, 0.000], [0.750, 0.250, 0.500]]}

---

{"formula": "Si2H2Ir", "functional": "meta-GGA SCAN", "state": "PBEsol geometry", "total_magnetization_mub_per_fu": 0.00, "energy_ev_per_cell": -97.8, "spacegroup": "I4/mmm (139)", "cell": [[4.053, 0.007, 0.012], [-1.560, 3.741, -0.012], [-1.560, -1.666, 3.350]], "species": ["H", "H", "Si", "Si", "Ir"], "frac_coords": [[0.000, 0.659, 0.659], [0.000, 0.341, 0.341], [0.500, 0.750, 0.250], [0.500, 0.250, 0.750], [0.000, 0.000, 0.000]]}

---

{"formula": "SnH2Ir", "functional": "meta-GGA SCAN", "state": "PBEsol geometry", "total_magnetization_mub_per_fu": 0.00, "energy_ev_per_cell": -114.3, "spacegroup": "I-4m2 (119)", "cell": [[-2.385, -0.811, 2.220], [2.122, -2.123, 1.505], [1.432, 4.554, 0.662]], "species": ["H", "H", "Ir", "Sn"], "frac_coords": [[0.316, 0.316, 0.632], [0.684, 0.684, 0.368], [0.250, 0.750, 0.500], [0.000, 0.000, 0.000]]}

---

{"formula": "TcSn2HIr", "functional": "meta-GGA SCAN", "state": "PBEsol geometry", "total_magnetization_mub_per_fu": 2.54, "energy_ev_per_cell": -178.8, "spacegroup": "P4/mmm (123)", "cell": [[3.228, 0.000, 0.000], [0.000, 5.131, 0.000], [0.000, 0.000, 5.131]], "species": ["H", "Ir", "Sn", "Sn", "Tc"], "frac_coords": [[0.500, 0.000, 0.000], [0.000, 0.000, 0.000], [0.000, 0.000, 0.500], [0.000, 0.500, 0.000], [0.500, 0.500, 0.500]]}

---

{"formula": "SrH3Ir", "functional": "meta-GGA SCAN", "state": "PBEsol geometry", "total_magnetization_mub_per_fu": 0.10, "energy_ev_per_cell": -106.3, "spacegroup": "Pm-3m (221)", "cell": [[3.740, 0.000, 0.000], [0.000, 3.740, 0.000], [0.000, 0.000, 3.740]], "species": ["Sr", "Ir", "H", "H", "H"], "frac_coords": [[0.500, 0.500, 0.500], [0.000, 0.000, 0.000], [0.000, 0.500, 0.000], [0.000, 0.000, 0.500], [0.500, 0.000, 0.000]]}

---

{"formula": "Ta3HIr", "functional": "meta-GGA SCAN", "state": "PBEsol geometry", "total_magnetization_mub_per_fu": 0.00, "energy_ev_per_cell": -275.5, "spacegroup": "Pm-3m (221)", "cell": [[-0.538, 3.661, -1.757], [-3.659, 0.331, 1.810], [1.760, 1.807, 3.227]], "species": ["H", "Ir", "Ta", "Ta", "Ta"], "frac_coords": [[0.000, 0.000, 0.000], [0.500, 0.500, 0.500], [0.000, 0.500, 0.000], [0.000, 0.000, 0.500], [0.500, 0.000, 0.000]]}

---

{"formula": "TaH2Ir2", "functional": "meta-GGA SCAN", "state": "PBEsol geometry", "total_magnetization_mub_per_fu": 0.00, "energy_ev_per_cell": -431.7, "spacegroup": "P4/mbm (127)", "cell": [[2.845, 0.000, 0.000], [0.000, 6.148, 0.000], [0.000, 0.000, 6.148]], "species": ["H", "H", "H", "H", "Ir", "Ir", "Ir", "Ir", "Ta", "Ta"], "frac_coords": [[0.000, 0.274, 0.774], [0.000, 0.774, 0.726], [0.000, 0.726, 0.226], [0.000, 0.226, 0.274], [0.500, 0.149, 0.649], [0.500, 0.649, 0.851], [0.500, 0.851, 0.351], [0.500, 0.351, 0.149], [0.000, 0.000, 0.000], [0.000, 0.500, 0.500]]}

---

{"formula": "TcHIr2", "functional": "meta-GGA SCAN", "state": "PBEsol geometry", "total_magnetization_mub_per_fu": 0.00, "energy_ev_per_cell": -177.9, "spacegroup": "Fm-3m (225)", "cell": [[-3.132, 1.827, 1.974], [-1.326, -1.507, 3.607], [0.698, 2.089, 3.491]], "species": ["H", "Ir", "Ir", "Tc"], "frac_coords": [[0.000, 0.000, 0.000], [0.250, 0.250, 0.250], [0.750, 0.750, 0.750], [0.500, 0.500, 0.500]]}